[1]
Entry from Alexandria via LeMat-Bulk: a PBEsol-optimized structure of Re2PtAu (SCAN).

Properties
Distance to the lowest polymorph of the same formula, eV/atom: 0.044
Electronic total energy, eV/atom: -70.110
Formation energy, kJ per mole of atoms: 27

Cell: 4.7783 2.7457 4.8502 Å, 90.00 109.12 90.00°
With the nearest neighbours (Å) after each atom.
Space group P2/m (No. 10)
Asymmetric unit:
1 Re 0.0000 0.0000 0.0000  6 Re 2.75-2.76, 4 Pt 2.79, 2 Au 2.79
2 Re 0.5000 0.5000 0.0000  6 Re 2.75-2.76, 4 Au 2.79, 2 Pt 2.79
3 Pt 0.0000 0.5000 0.5000  2 Pt 2.75, 4 Au 2.76, 6 Re 2.79
4 Au 0.5000 0.0000 0.5000  2 Au 2.75, 4 Pt 2.76, 6 Re 2.79



[2]
Entry from Alexandria via LeMat-Bulk: a PBEsol-optimized structure of LiSe2SCl (SCAN).

Properties
Electronic total energy, eV/atom: -11.652
ΔE_f (raw), eV/atom: 0.379

Cell: 4.7053 4.7053 4.1635 Å, 90.00 90.00 90.00°
With the nearest neighbours (Å) after each atom.
Space group P4/mmm (No. 123)
Asymmetric unit:
1 Li 0.0000 0.0000 0.0000  2 Cl 2.08
2 Se 0.0000 0.5000 0.0000  2 Li 2.35
3 S 0.5000 0.5000 0.5000  8 Se 3.14, 4 Cl 3.33
4 Cl 0.0000 0.0000 0.5000  2 Li 2.08